(i)
Entry from the Alexandria database: a relaxed ScAsF3 crystal (GGA-PBE).

As for the density of states at the Fermi level: 0.1 states/eV/cell. The total moment comes out at 0.600 μB/atom.

The structure belongs to space group Pm-3m (No. 221); the cell edges are 4.261, 4.261 and 4.261 Å and the angles 90.00°, 90.00° and 90.00°. The asymmetric unit holds Sc at (0.000, 0.000, 0.000), As at (0.500, 0.500, 0.500) and F at (0.000, 0.000, 0.500).

(ii)
Entry from the Alexandria database: a relaxed ScAsF3 crystal (GGA-PBE).

As for the density of states at the Fermi level: 2.5 states/eV/cell. The total moment comes out at 0.282 μB/atom.

The structure belongs to space group Pm-3m (No. 221); the cell edges are 4.429, 4.429 and 4.429 Å and the angles 90.00°, 90.00° and 90.00°. The asymmetric unit holds Sc at (0.000, 0.000, 0.000), As at (0.500, 0.500, 0.500) and F at (0.000, 0.500, 0.500).

Most stable structure, least stable structure: (i), (ii).

(i)
Entry from the Alexandria database: a relaxed AsSe3F crystal (GGA-PBE).

As for the density of states at the Fermi level: 5.4 states/eV/cell. The total moment comes out at 0.000 μB/atom.

The structure belongs to space group Pm-3m (No. 221); the cell edges are 4.654, 4.654 and 4.654 Å and the angles 90.00°, 90.00° and 90.00°. The asymmetric unit holds As at (0.000, 0.000, 0.000), Se at (0.000, 0.500, 0.500) and F at (0.500, 0.500, 0.500).

(ii)
Entry from the Alexandria database: a relaxed AsSe3F crystal (GGA-PBE).

As for the density of states at the Fermi level: 6.8 states/eV/cell. The total moment comes out at 0.000 μB/atom.

The structure belongs to space group Pm-3m (No. 221); the cell edges are 5.004, 5.004 and 5.004 Å and the angles 90.00°, 90.00° and 90.00°. The asymmetric unit holds As at (0.000, 0.000, 0.000), Se at (0.000, 0.000, 0.500) and F at (0.500, 0.500, 0.500).

Most stable structure, least stable structure: (ii), (i).

(i)
Entry from the Alexandria database: a relaxed SiAs2SeF crystal (GGA-PBE).

As for the density of states at the Fermi level: 2.4 states/eV/cell. The total moment comes out at 0.000 μB/atom.

The structure belongs to space group P4/mmm (No. 123); the cell edges are 5.107, 5.107 and 4.033 Å and the angles 90.00°, 90.00° and 90.00°. The asymmetric unit holds Si at (0.000, 0.000, 0.000), As at (0.000, 0.500, 0.500), Se at (0.500, 0.500, 0.500) and F at (0.500, 0.500, 0.000).

(ii)
Entry from the Alexandria database: a relaxed SiAs2SeF crystal (GGA-PBE).

As for the density of states at the Fermi level: 2.2 states/eV/cell. The total moment comes out at 0.000 μB/atom.

The structure belongs to space group P4/mmm (No. 123); the cell edges are 4.349, 4.349 and 5.210 Å and the angles 90.00°, 90.00° and 90.00°. The asymmetric unit holds Si at (0.000, 0.000, 0.000), As at (0.000, 0.500, 0.500), Se at (0.500, 0.500, 0.000) and F at (0.500, 0.500, 0.500).

Most stable structure, least stable structure: (i), (ii).